Record 1
Material: BaRh6Pb12
Method: DFT, GGA-PBE
State: optimized geometry

Results
Mass density (g/cm3): 11.104
Formation enthalpy at 0 K (meV per atom): -72
Space group: R-3m
Size of the total moment (Bohr magnetons per cell): 0.0

a = 8.264 Å, b = 8.264 Å, c = 8.264 Å
α = 105.79°, β = 105.79°, γ = 105.79°
Fractional positions:
Ba1 0.000 0.000 0.000
Rh1 0.280 0.280 0.705
Rh2 0.280 0.705 0.280
Rh3 0.295 0.720 0.720
Rh4 0.705 0.280 0.280
Rh5 0.720 0.295 0.720
Rh6 0.720 0.720 0.295
Pb1 0.122 0.500 0.878
Pb2 0.122 0.878 0.500
Pb3 0.157 0.413 0.413
Pb4 0.413 0.157 0.413
Pb5 0.413 0.413 0.157
Pb6 0.500 0.122 0.878
Pb7 0.500 0.878 0.122
Pb8 0.587 0.587 0.843
Pb9 0.587 0.843 0.587
Pb10 0.843 0.587 0.587
Pb11 0.878 0.122 0.500
Pb12 0.878 0.500 0.122

***

Record 2
Material: ZrZn8Ni4
Method: DFT, GGA-PBE
State: optimized geometry

Results
Mass density (g/cm3): 7.826
Formation enthalpy at 0 K (meV per atom): -250
Space group: I4/mmm
Size of the total moment (Bohr magnetons per cell): 0.0

a = 6.493 Å, b = 6.493 Å, c = 6.493 Å
α = 98.63°, β = 98.63°, γ = 134.43°
Fractional positions:
Zr1 0.000 0.000 0.000
Zn1 0.000 0.339 0.339
Zn2 0.000 0.661 0.661
Zn3 0.283 0.500 0.783
Zn4 0.339 0.000 0.339
Zn5 0.500 0.283 0.783
Zn6 0.500 0.717 0.217
Zn7 0.661 0.000 0.661
Zn8 0.717 0.500 0.217
Ni1 0.000 0.000 0.500
Ni2 0.000 0.500 0.000
Ni3 0.500 0.000 0.000
Ni4 0.500 0.500 0.500

***

Record 3
Material: NaCu2Hg2
Method: DFT, GGA-PBE
State: optimized geometry

Results
Mass density (g/cm3): 9.203
Formation enthalpy at 0 K (meV per atom): 64
Space group: I4/mmm
Size of the total moment (Bohr magnetons per cell): 0.0

a = 7.575 Å, b = 7.575 Å, c = 7.575 Å
α = 151.39°, β = 151.39°, γ = 40.91°
Fractional positions:
Na1 0.000 0.000 0.000
Cu1 0.250 0.750 0.500
Cu2 0.750 0.250 0.500
Hg1 0.390 0.390 0.000
Hg2 0.610 0.610 0.000

***

- Which value of formation enthalpy at 0 K does entry 1 give?
  -72 meV per atom